Version P
VASP calculation (GGA-PBE) on a relaxed Ba2Ag2Te crystal.

```
data_Ba2Ag2Te
_cell_length_a 6.073
_cell_length_b 6.073
_cell_length_c 10.453
_cell_angle_alpha 90.00
_cell_angle_beta 90.00
_cell_angle_gamma 90.00
_space_group_name_H-M_alt 'I 4/m m m'
_space_group_IT_number 139
_space_group_name_Hall '-I 4 2'
loop_
_atom_site_label
_atom_site_fract_x
_atom_site_fract_y
_atom_site_fract_z
_atom_site_occupancy
Ba1 0.000 0.500 0.250 1
Ag1 0.000 0.000 0.127 1
Te1 0.000 0.000 0.500 1
```

Values from the calculation:
- Crystal system: tetragonal
- Calculated density: 5.32 g/cm3

***

Version Q
VASP calculation (GGA-PBE) on a relaxed Ba2Ag2Te crystal.

```
data_Ba2Ag2Te
_cell_length_a 8.697
_cell_length_b 8.697
_cell_length_c 4.476
_cell_angle_alpha 90.00
_cell_angle_beta 90.00
_cell_angle_gamma 90.00
_space_group_name_H-M_alt 'P 4/m b m'
_space_group_IT_number 127
_space_group_name_Hall '-P 4 2ab'
loop_
_atom_site_label
_atom_site_fract_x
_atom_site_fract_y
_atom_site_fract_z
_atom_site_occupancy
Ba1 0.185 0.315 0.000 1
Ag1 0.112 0.612 0.500 1
Te1 0.000 0.000 0.500 1
```

Values from the calculation:
- Crystal system: tetragonal
- Calculated density: 6.06 g/cm3

***

Version R
VASP calculation (GGA-PBE) on a relaxed Ba2Ag2Te crystal.

```
data_Ba2Ag2Te
_cell_length_a 9.187
_cell_length_b 9.187
_cell_length_c 4.639
_cell_angle_alpha 90.00
_cell_angle_beta 90.00
_cell_angle_gamma 90.00
_space_group_name_H-M_alt 'P 4/m b m'
_space_group_IT_number 127
_space_group_name_Hall '-P 4 2ab'
loop_
_atom_site_label
_atom_site_fract_x
_atom_site_fract_y
_atom_site_fract_z
_atom_site_occupancy
Ba1 0.178 0.322 0.000 1
Ag1 0.111 0.611 0.500 1
Te1 0.000 0.000 0.000 1
```

Values from the calculation:
- Crystal system: tetragonal
- Calculated density: 5.24 g/cm3

***

Version S
VASP calculation (GGA-PBE) on a relaxed Ba2Ag2Te crystal.

```
data_Ba2Ag2Te
_cell_length_a 4.181
_cell_length_b 4.181
_cell_length_c 19.253
_cell_angle_alpha 90.00
_cell_angle_beta 90.00
_cell_angle_gamma 90.00
_space_group_name_H-M_alt 'I 4/m m m'
_space_group_IT_number 139
_space_group_name_Hall '-I 4 2'
loop_
_atom_site_label
_atom_site_fract_x
_atom_site_fract_y
_atom_site_fract_z
_atom_site_occupancy
Ba1 0.000 0.000 0.107 1
Ag1 0.000 0.500 0.250 1
Te1 0.000 0.000 0.500 1
```

Values from the calculation:
- Crystal system: tetragonal
- Calculated density: 6.10 g/cm3

***

Stability, lowest: version P

***

Version P
VASP calculation (GGA-PBE) on a relaxed BaAg3Te crystal.

```
data_BaAg3Te
_cell_length_a 5.482
_cell_length_b 5.482
_cell_length_c 5.482
_cell_angle_alpha 90.00
_cell_angle_beta 90.00
_cell_angle_gamma 90.00
_space_group_name_H-M_alt 'P m -3 m'
_space_group_IT_number 221
_space_group_name_Hall '-P 4 2 3'
loop_
_atom_site_label
_atom_site_fract_x
_atom_site_fract_y
_atom_site_fract_z
_atom_site_occupancy
Ba1 0.000 0.000 0.000 1
Ag1 0.000 0.500 0.500 1
Te1 0.500 0.500 0.500 1
```

Values from the calculation:
- Crystal system: cubic
- Calculated density: 5.93 g/cm3

***

Version Q
VASP calculation (GGA-PBE) on a relaxed BaAg3Te crystal.

```
data_BaAg3Te
_cell_length_a 5.881
_cell_length_b 5.881
_cell_length_c 5.881
_cell_angle_alpha 90.00
_cell_angle_beta 90.00
_cell_angle_gamma 90.00
_space_group_name_H-M_alt 'P m -3 m'
_space_group_IT_number 221
_space_group_name_Hall '-P 4 2 3'
loop_
_atom_site_label
_atom_site_fract_x
_atom_site_fract_y
_atom_site_fract_z
_atom_site_occupancy
Ba1 0.000 0.000 0.000 1
Ag1 0.000 0.000 0.500 1
Te1 0.500 0.500 0.500 1
```

Values from the calculation:
- Crystal system: cubic
- Calculated density: 4.80 g/cm3

***

Stability, lowest: version Q

***

Version P
VASP calculation (GGA-PBE) on a relaxed BaAg3Te3 crystal.

```
data_BaAg3Te3
_cell_length_a 7.812
_cell_length_b 7.812
_cell_length_c 7.812
_cell_angle_alpha 90.00
_cell_angle_beta 90.00
_cell_angle_gamma 90.00
_space_group_name_H-M_alt 'P m -3 n'
_space_group_IT_number 223
_space_group_name_Hall '-P 4n 2 3'
loop_
_atom_site_label
_atom_site_fract_x
_atom_site_fract_y
_atom_site_fract_z
_atom_site_occupancy
Ba1 0.000 0.000 0.000 1
Ag1 0.000 0.250 0.500 1
Te1 0.000 0.500 0.250 1
```

Values from the calculation:
- Crystal system: cubic
- Calculated density: 5.88 g/cm3

***

Version Q
VASP calculation (GGA-PBE) on a relaxed BaAg3Te3 crystal.

```
data_BaAg3Te3
_cell_length_a 10.8950
_cell_length_b 10.8950
_cell_length_c 4.7517
_cell_angle_alpha 90.00
_cell_angle_beta 90.00
_cell_angle_gamma 120.00
_space_group_name_H-M_alt 'P 63/m'
_space_group_IT_number 176
_space_group_name_Hall '-P 6c'
loop_
_atom_site_label
_atom_site_fract_x
_atom_site_fract_y
_atom_site_fract_z
_atom_site_occupancy
Ba1 0.3333 0.6667 0.2500 1
Ag1 0.0493 0.4194 0.7500 1
Te1 0.1006 0.7062 0.7500 1
```

Values from the calculation:
- Crystal system: hexagonal
- Calculated density: 5.74 g/cm3

***

Stability, lowest: version P

***

Version P
VASP calculation (GGA-PBE) on a relaxed BaTiAg2 crystal.

```
data_BaTiAg2
_cell_length_a 7.470
_cell_length_b 7.470
_cell_length_c 7.470
_cell_angle_alpha 90.00
_cell_angle_beta 90.00
_cell_angle_gamma 90.00
_space_group_name_H-M_alt 'F m -3 m'
_space_group_IT_number 225
_space_group_name_Hall '-F 4 2 3'
loop_
_atom_site_label
_atom_site_fract_x
_atom_site_fract_y
_atom_site_fract_z
_atom_site_occupancy
Ba1 0.000 0.000 0.000 1
Ti1 0.000 0.000 0.500 1
Ag1 0.250 0.250 0.250 1
```

Values from the calculation:
- Crystal system: cubic
- Calculated density: 6.39 g/cm3

***

Version Q
VASP calculation (GGA-PBE) on a relaxed BaTiAg2 crystal.

```
data_BaTiAg2
_cell_length_a 8.228
_cell_length_b 8.228
_cell_length_c 6.688
_cell_angle_alpha 90.00
_cell_angle_beta 90.00
_cell_angle_gamma 90.00
_space_group_name_H-M_alt 'I -4 2 d'
_space_group_IT_number 122
_space_group_name_Hall 'I -4 2bw'
loop_
_atom_site_label
_atom_site_fract_x
_atom_site_fract_y
_atom_site_fract_z
_atom_site_occupancy
Ba1 0.000 0.000 0.000 1
Ti1 0.000 0.000 0.500 1
Ag1 0.191 0.750 0.625 1
```

Values from the calculation:
- Crystal system: tetragonal
- Calculated density: 5.88 g/cm3

***

Stability, lowest: version P

***

Version P
VASP calculation (GGA-PBE) on a relaxed BaTi3Ag crystal.

```
data_BaTi3Ag
_cell_length_a 4.969
_cell_length_b 4.969
_cell_length_c 4.969
_cell_angle_alpha 90.00
_cell_angle_beta 90.00
_cell_angle_gamma 90.00
_space_group_name_H-M_alt 'P m -3 m'
_space_group_IT_number 221
_space_group_name_Hall '-P 4 2 3'
loop_
_atom_site_label
_atom_site_fract_x
_atom_site_fract_y
_atom_site_fract_z
_atom_site_occupancy
Ba1 0.000 0.000 0.000 1
Ti1 0.000 0.000 0.500 1
Ag1 0.500 0.500 0.500 1
```

Values from the calculation:
- Crystal system: cubic
- Calculated density: 5.26 g/cm3

***

Version Q
VASP calculation (GGA-PBE) on a relaxed BaTi3Ag crystal.

```
data_BaTi3Ag
_cell_length_a 5.105
_cell_length_b 5.105
_cell_length_c 5.105
_cell_angle_alpha 90.00
_cell_angle_beta 90.00
_cell_angle_gamma 90.00
_space_group_name_H-M_alt 'P m -3 m'
_space_group_IT_number 221
_space_group_name_Hall '-P 4 2 3'
loop_
_atom_site_label
_atom_site_fract_x
_atom_site_fract_y
_atom_site_fract_z
_atom_site_occupancy
Ba1 0.000 0.000 0.000 1
Ti1 0.000 0.500 0.500 1
Ag1 0.500 0.500 0.500 1
```

Values from the calculation:
- Crystal system: cubic
- Calculated density: 4.85 g/cm3

***

Stability, lowest: version P